Record 1
VASP calculation (PBE) on a relaxed structure of RbCa3Nb.

a b c (Å): 5.889 5.889 5.889
angles (deg): 90.00 90.00 90.00
Fractional positions:
Ca: 0.000 0.000 0.500
Ca: 0.000 0.500 0.000
Ca: 0.500 0.000 0.000
Nb: 0.000 0.000 0.000
Rb: 0.500 0.500 0.500

Properties
Spin magnetization, Bohr magnetons per cell: 0.0
E_form, eV per formula unit: 3.7


Record 2
VASP calculation (PBE) on a relaxed structure of RbCa3Nb.

a b c (Å): 5.566 5.566 5.566
angles (deg): 90.00 90.00 90.00
Fractional positions:
Ca: 0.000 0.000 0.500
Ca: 0.000 0.500 0.000
Ca: 0.500 0.000 0.000
Nb: 0.500 0.500 0.500
Rb: 0.000 0.000 0.000

Properties
Spin magnetization, Bohr magnetons per cell: 0.0
E_form, eV per formula unit: 8.6


Record 3
VASP calculation (PBE) on a relaxed structure of Rb3CaNb.

a b c (Å): 7.068 7.068 7.068
angles (deg): 90.00 90.00 90.00
Site moments in Bohr magnetons follow the coordinates.
Fractional positions:
Rb: 0.000 0.000 0.500  0.04
Rb: 0.000 0.500 0.000  0.05
Rb: 0.500 0.000 0.000  0.05
Nb: 0.000 0.000 0.000  3.28
Ca: 0.500 0.500 0.500  0.01

Properties
Spin magnetization, Bohr magnetons per cell: 5.5
E_form, eV per formula unit: 5.9


Record 4
VASP calculation (PBE) on a relaxed structure of RbCa2Nb.

a b c (Å): 5.953 5.953 5.953
angles (deg): 60.00 60.00 60.00
Site moments in Bohr magnetons follow the coordinates.
Fractional positions:
Ca: 0.750 0.750 0.750  0.06
Ca: 0.250 0.250 0.250  0.06
Rb: 0.000 0.000 0.000  0.01
Nb: 0.500 0.500 0.500  2.61

Properties
Spin magnetization, Bohr magnetons per cell: 4.0
E_form, eV per formula unit: 3.7